Te4WO12 PBE+U relaxed; E_tot = -94.3 eV for the cell shown; space-group type = I4/mmm (139)
1.0
-4.0124 4.0124 3.7765
4.0124 -4.0124 3.7765
4.0124 4.0124 -3.7765
Te W O
4 1 12
direct
0.0000 0.0000 0.5000
0.0000 0.5000 0.0000
0.5000 0.0000 0.0000
0.5000 0.5000 0.5000
0.0000 0.0000 0.0000
0.0497 0.8279 0.2217
0.1721 0.3938 0.2217
0.1721 0.9503 0.7783
0.3087 0.3087 0.6174
0.3087 0.6913 0.0000
0.3938 0.1721 0.2217
0.6062 0.8279 0.7783
0.6913 0.3087 0.0000
0.6913 0.6913 0.3826
0.8279 0.0497 0.2217
0.8279 0.6062 0.7783
0.9503 0.1721 0.7783